Entry 1:
Here is a geometry-optimized Nb9Ir11Ru4 structure from Alexandria. Energies are from PBE.

It has space group Cmmm (No. 65), with a = 13.087 Å, b = 20.613 Å, c = 2.824 Å, α = 90.00°, β = 90.00° and γ = 90.00°. The distinct sites, in fractional coordinates, are Nb at (0.000, 0.000, 0.000), Nb at (0.113, 0.217, 0.000), Nb at (0.115, 0.407, 0.000), Ir at (0.000, 0.120, 0.500), Ir at (0.000, 0.311, 0.500), Ir at (0.000, 0.500, 0.500), Ir at (0.218, 0.316, 0.500), Ir at (0.220, 0.500, 0.500) and Ru at (0.171, 0.090, 0.000).

The value obtained for the density is 14.6 g cm⁻³. The value obtained for the energy relative to the elements is -0.3346 eV/atom. The electronic total energy is -233.23 eV per formula unit. The calculation puts the density of states at the Fermi level at 0.818 states/eV per atom.

=====

Entry 2:
Here is a geometry-optimized PmNp4P5 structure from Alexandria. Energies are from PBE.

It has space group Immm (No. 71), with a = 3.997 Å, b = 5.651 Å, c = 19.960 Å, α = 90.00°, β = 90.00° and γ = 90.00°. The distinct sites, in fractional coordinates, are Pm at (0.000, 0.000, 0.000), Np at (0.000, 0.000, 0.202), Np at (0.000, 0.000, 0.400), P at (0.000, 0.500, 0.000), P at (0.000, 0.500, 0.198) and P at (0.000, 0.500, 0.394).

The value obtained for the density is 9.2 g cm⁻³. The value obtained for the energy relative to the elements is -0.9999 eV/atom. The electronic total energy is -93.56 eV per formula unit. The calculation puts the density of states at the Fermi level at 3.093 states/eV per atom.

=====

Entry 3:
Here is a geometry-optimized Sr2SCl2 structure from Alexandria. Energies are from PBE.

It has space group P-3m1 (No. 164), with a = 4.3767 Å, b = 4.3767 Å, c = 9.5648 Å, α = 90.00°, β = 90.00° and γ = 120.00°. The distinct sites, in fractional coordinates, are Sr at (0.3333, 0.6667, 0.3182), S at (0.0000, 0.0000, 0.5000) and Cl at (0.3333, 0.6667, 0.8308).

The formation energy from raw total energies comes out at -2.323 eV per atom. The value obtained for the density is 2.9 g cm⁻³. The electronic total energy is -22.80 eV per formula unit. The calculation puts the density of states at the Fermi level at 0.000 states/eV per atom.

=====

Entry 4:
Here is a geometry-optimized Ac2TbIr9 structure from Alexandria. Energies are from PBE.

It has space group R-3m (No. 166, hexagonal axes), with a = 5.4090 Å, b = 5.4090 Å, c = 27.1569 Å, α = 90.00°, β = 90.00° and γ = 120.00°. The distinct sites, in fractional coordinates, are Ac at (0.0000, 0.0000, 0.1392), Tb at (0.0000, 0.0000, 0.0000), Ir at (0.0000, 0.0000, 0.3316), Ir at (0.0000, 0.0000, 0.5000) and Ir at (0.0047, 0.5023, 0.0782).

The value obtained for the density is 17.0 g cm⁻³. The value obtained for the energy relative to the elements is -0.4382 eV/atom. The electronic total energy is -97.85 eV per formula unit. The calculation puts the density of states at the Fermi level at 0.831 states/eV per atom.

=====

Entry 5:
Here is a geometry-optimized Rb3Sm3TmTe8 structure from Alexandria. Energies are from PBE.

It has space group R-3m (No. 166, hexagonal axes), with a = 8.9377 Å, b = 8.9377 Å, c = 26.5908 Å, α = 90.00°, β = 90.00° and γ = 120.00°. The distinct sites, in fractional coordinates, are Rb at (0.0000, 0.5000, 0.0000), Sm at (0.0000, 0.5000, 0.5000), Tm at (0.0000, 0.0000, 0.5000), Te at (0.0000, 0.0000, 0.2348) and Te at (0.0064, 0.5032, 0.2331).

The formation energy from raw total energies comes out at -1.316 eV per atom. The value obtained for the density is 5.1 g cm⁻³. The electronic total energy is -66.41 eV per formula unit. The calculation puts the density of states at the Fermi level at 0.520 states/eV per atom.

=====

Entry 6:
Here is a geometry-optimized YZrClO2 structure from Alexandria. Energies are from PBE.

It has space group P4/mmm (No. 123), with a = 4.341 Å, b = 4.341 Å, c = 5.141 Å, α = 90.00°, β = 90.00° and γ = 90.00°. The distinct sites, in fractional coordinates, are Y at (0.000, 0.000, 0.000), Zr at (0.500, 0.500, 0.500), Cl at (0.000, 0.000, 0.500) and O at (0.000, 0.500, 0.000).

The formation energy from raw total energies comes out at -1.390 eV per atom. The value obtained for the density is 4.2 g cm⁻³. The electronic total energy is -33.73 eV per formula unit. The calculation puts the density of states at the Fermi level at 1.010 states/eV per atom.

=====

Number 1: spin magnetization 0.00 μB per formula unit. Number 2: spin magnetization 14.99 μB per formula unit. Number 3: spin magnetization 0.00 μB per formula unit. Number 4: spin magnetization 0.00 μB per formula unit. Number 5: spin magnetization 0.00 μB per formula unit. Number 6: spin magnetization 2.00 μB per formula unit.